[1]
First-principles (PBE-GGA) data for Pm3InNi2 after structural relaxation, as listed in the Alexandria database.

Cell and atoms, written as CIF:
```
data_Pm3InNi2
_symmetry_space_group_name_H-M 'P m c 21'
_symmetry_Int_Tables_number 26
_cell_length_a 4.316
_cell_length_b 9.388
_cell_length_c 7.268
_cell_angle_alpha 90.00
_cell_angle_beta 90.00
_cell_angle_gamma 90.00
loop_
_symmetry_equiv_pos_as_xyz
'x,y,z'
'-x,-y,z+1/2'
'-x,y,z'
'x,-y,z+1/2'
loop_
_atom_site_label
_atom_site_fract_x
_atom_site_fract_y
_atom_site_fract_z
Pm1 0.000 0.056 0.000
Pm2 0.500 0.257 0.390
Pm3 0.500 0.336 0.866
In1 0.000 0.489 0.128
Ni1 0.000 0.213 0.653
Ni2 0.500 0.051 0.717
```

As for the magnetic moment: 0.00 μB/f.u.

***

[2]
First-principles (PBE-GGA) data for PmInNi2 after structural relaxation, as listed in the Alexandria database.

Cell and atoms, written as CIF:
```
data_PmInNi2
_symmetry_space_group_name_H-M 'P 4/m m m'
_symmetry_Int_Tables_number 123
_symmetry_space_group_name_Hall '-P 4 2'
_cell_length_a 4.652
_cell_length_b 4.652
_cell_length_c 3.366
_cell_angle_alpha 90.00
_cell_angle_beta 90.00
_cell_angle_gamma 90.00
loop_
_atom_site_label
_atom_site_fract_x
_atom_site_fract_y
_atom_site_fract_z
Pm1 0.000 0.000 0.000
In1 0.500 0.500 0.000
Ni1 0.000 0.500 0.500
```

As for the magnetic moment: 0.00 μB/f.u.

***

[3]
First-principles (PBE-GGA) data for PmIn2Ni2 after structural relaxation, as listed in the Alexandria database.

Cell and atoms, written as CIF:
```
data_PmIn2Ni2
_symmetry_space_group_name_H-M 'C 1 2/m 1'
_symmetry_Int_Tables_number 12
_cell_length_a 9.982
_cell_length_b 4.105
_cell_length_c 5.139
_cell_angle_alpha 90.00
_cell_angle_beta 104.48
_cell_angle_gamma 90.00
loop_
_symmetry_equiv_pos_as_xyz
'x,y,z'
'-x,-y,-z'
'-x,y,-z'
'x,-y,z'
'x+1/2,y+1/2,z'
'-x+1/2,-y+1/2,-z'
'-x+1/2,y+1/2,-z'
'x+1/2,-y+1/2,z'
loop_
_atom_site_label
_atom_site_fract_x
_atom_site_fract_y
_atom_site_fract_z
Pm1 0.000 0.000 0.000
In1 0.152 0.500 0.582
Ni1 0.225 0.500 0.118
```

As for the magnetic moment: 0.00 μB/f.u.

***

| no. | energy of formation (meV/atom) | calculated total energy (eV per atom) |
| --- | --- | --- |
| 1 | -343 | -5.102 |
| 2 | -174 | -4.937 |
| 3 | -350 | -4.709 |